Density functional theory data (PBE-GGA) for a relaxed structure of K2AgAs.

Results
Its space group is Cmcm, No. 63. Its size of the total moment is 0.00 μB per cell. Its mass density is 3.53 g/cm3. Its crystal system is orthorhombic. Its energy of formation from the pure elements is -403 meV per atom.

Geometry as extended XYZ:
```
8
Lattice="-5.123 3.856 -0.409 1.076 -1.729 -6.093 -3.688 -4.823 0.717" Properties=species:S:1:pos:R:3 pbc="T T T"
K -0.335 -2.276 -4.001
K -7.399 -0.420 -1.784
K -4.395 1.382 -0.278
K -3.339 -4.078 -5.507
Ag -3.867 -1.348 -2.892
Ag -2.023 1.063 -3.251
As -5.840 -2.001 -4.401
As -1.894 -0.695 -1.383
```



Density functional theory data (PBE-GGA) for a relaxed structure of KAgAs2.

Results
The energy above the most stable polymorph in this dataset comes out at 0.122 eV/atom. Its space group is P4/mmm, No. 123. Its size of the total moment is 0.00 μB per cell. Its mass density is 4.89 g/cm3. Its crystal system is tetragonal. Its energy of formation from the pure elements is -40 meV per atom.

Geometry as extended XYZ:
```
4
Lattice="3.806 0.000 0.000 0.000 3.803 0.000 0.000 0.000 6.961" Properties=species:S:1:pos:R:3 pbc="T T T"
Ag 1.903 1.902 5.221
As 0.000 0.000 6.405
As 0.000 0.000 4.037
K 1.903 1.902 1.740
```



Density functional theory data (PBE-GGA) for a relaxed structure of KAgAs2.

Results
The energy above the most stable polymorph in this dataset comes out at 0.095 eV/atom. Its space group is Pmmm, No. 47. Its size of the total moment is 0.00 μB per cell. Its mass density is 5.11 g/cm3. Its crystal system is orthorhombic. Its energy of formation from the pure elements is -68 meV per atom.

Geometry as extended XYZ:
```
4
Lattice="-2.719 2.728 -2.484 -1.746 -2.465 -0.796 -3.909 1.023 5.400" Properties=species:S:1:pos:R:3 pbc="T T T"
Ag -5.600 0.283 2.211
As -5.013 -0.882 4.517
As -3.468 -1.281 2.389
K -2.773 1.004 -0.091
```



Density functional theory data (PBE-GGA) for a relaxed structure of KAgAs2.

Results
The energy above the most stable polymorph in this dataset comes out at 0.000 eV/atom. Its space group is C2/m, No. 12. Its size of the total moment is 0.00 μB per cell. Its mass density is 4.23 g/cm3. Its crystal system is monoclinic. Its energy of formation from the pure elements is -162 meV per atom.

Geometry as extended XYZ:
```
4
Lattice="5.500 -0.101 -1.150 4.280 3.456 -1.150 1.048 0.359 5.744" Properties=species:S:1:pos:R:3 pbc="T T T"
Ag 2.707 0.929 0.861
As 0.319 0.109 0.593
As 5.095 1.748 1.129
K 8.121 2.786 2.583
```



no.,volume (Å³/cell)
1,245.28
2,100.76
3,96.54
4,116.46